# 1
The following is a PBE calculation of an optimized crystal structure of ZnCdHg6, from Alexandria.

Cell lengths 9.3379, 12.8097, 7.2577 Å; angles 90.00, 90.00, 90.00 degrees
Space group Cmme (No. 67)
Symmetry-distinct sites (fractional):
Zn 0.2500 0.0000 0.0000 (multiplicity 4)
Cd 0.0000 0.2500 0.4364 (multiplicity 4)
Hg 0.0000 0.1246 0.0900 (multiplicity 8)
Hg 0.1817 0.1219 0.6960 (multiplicity 16)

Output
Energy (Ry per atom): -0.033
Size of the total moment (μB per formula unit): 0.0
ΔH_f (0 K) (kJ per mole of atoms): 5.0

# 2
The following is a PBE calculation of an optimized crystal structure of Li2ZnCo, from Alexandria.

Cell lengths 2.4999, 4.1558, 5.0303 Å; angles 90.00, 90.00, 90.00 degrees
Space group Pmmm (No. 47)
Symmetry-distinct sites (fractional):
Li 0.0000 0.0000 0.2376 (multiplicity 2)
Zn 0.5000 0.5000 0.5000 (multiplicity 1)
Co 0.5000 0.5000 0.0000 (multiplicity 1)

Output
Energy (Ry per atom): -0.219
Size of the total moment (μB per formula unit): 1.1
ΔH_f (0 K) (kJ per mole of atoms): 7.2

# 3
The following is a PBE calculation of an optimized crystal structure of Sc2TlSb, from Alexandria.

Cell lengths 4.2445, 4.2445, 10.4076 Å; angles 90.00, 90.00, 90.00 degrees
Space group I-4m2 (No. 119)
Symmetry-distinct sites (fractional):
Sc 0.0000 0.0000 0.0000 (multiplicity 2)
Sc 0.0000 0.5000 0.2500 (multiplicity 2)
Tl 0.0000 0.0000 0.5000 (multiplicity 2)
Sb 0.0000 0.5000 0.7500 (multiplicity 2)

Output
Energy (Ry per atom): -0.390
Uncorrected formation energy (eV/atom): -0.519
Size of the total moment (μB per formula unit): 0.0

# 4
The following is a PBE calculation of an optimized crystal structure of AcAsBr, from Alexandria.

Cell lengths 4.2202, 4.2202, 10.6310 Å; angles 90.00, 90.00, 90.00 degrees
Space group I4mm (No. 107)
Symmetry-distinct sites (fractional):
Ac 0.0000 0.0000 0.0000 (multiplicity 2)
As 0.0000 0.0000 0.6015 (multiplicity 2)
Br 0.0000 0.0000 0.3144 (multiplicity 2)

Output
Energy (Ry per atom): -0.332
Uncorrected formation energy (eV/atom): -1.044
Size of the total moment (μB per formula unit): 0.8

# 5
The following is a PBE calculation of an optimized crystal structure of BeRe2Mo, from Alexandria.

Cell lengths 3.0796, 4.2349, 8.5117 Å; angles 90.00, 90.00, 90.00 degrees
Space group Imm2 (No. 44)
Symmetry-distinct sites (fractional):
Be 0.0000 0.0000 0.0000 (multiplicity 2)
Re 0.0000 0.0000 0.4933 (multiplicity 2)
Re 0.0000 0.5000 0.7417 (multiplicity 2)
Mo 0.0000 0.5000 0.2460 (multiplicity 2)

Output
Energy (Ry per atom): -0.720
Size of the total moment (μB per formula unit): 0.0
ΔH_f (0 K) (kJ per mole of atoms): 7.0

# 6
The following is a PBE calculation of an optimized crystal structure of Co2SbRh, from Alexandria.

Cell lengths 5.3499, 7.0460, 2.9839 Å; angles 90.00, 90.00, 90.00 degrees
Space group Cmmm (No. 65)
Symmetry-distinct sites (fractional):
Co 0.2500 0.2500 0.0000 (multiplicity 4)
Sb 0.0000 0.0000 0.5000 (multiplicity 2)
Rh 0.0000 0.5000 0.5000 (multiplicity 2)

Output
Energy (Ry per atom): -0.463
Uncorrected formation energy (eV/atom): 0.126
Size of the total moment (μB per formula unit): 2.3

# 7
The following is a PBE calculation of an optimized crystal structure of SrSiN2O, from Alexandria.

Cell lengths 4.8210, 4.8210, 4.5730 Å; angles 90.00, 90.00, 90.00 degrees
Space group P4/mmm (No. 123)
Symmetry-distinct sites (fractional):
Sr 0.0000 0.0000 0.0000 (multiplicity 1)
Si 0.5000 0.5000 0.5000 (multiplicity 1)
N 0.0000 0.5000 0.0000 (multiplicity 2)
O 0.0000 0.0000 0.5000 (multiplicity 1)

Output
Energy (Ry per atom): -0.304
Uncorrected formation energy (eV/atom): 1.601
Size of the total moment (μB per formula unit): 4.0

# 8
The following is a PBE calculation of an optimized crystal structure of LiLa2Hg, from Alexandria.

Cell lengths 8.6733, 8.6733, 6.3399 Å; angles 90.00, 90.00, 90.00 degrees
Space group I-42d (No. 122)
Symmetry-distinct sites (fractional):
Li 0.0000 0.0000 0.0000 (multiplicity 4)
La 0.2419 0.7500 0.1250 (multiplicity 8)
Hg 0.0000 0.0000 0.5000 (multiplicity 4)

Output
Energy (Ry per atom): -0.219
Size of the total moment (μB per formula unit): 0.0
ΔH_f (0 K) (kJ per mole of atoms): 3.3